# LiMnPCO7

A geometry-optimized LiMnPCO7 structure (PBE with a Hubbard U, the Alexandria database).

Results
Total magnetic moment, μB/cell: 5.90
Crystal system: triclinic
Polymorph energy (0 for the lowest one), eV per formula unit: 0.00
Symmetry: No. 2

Unit cell a=5.062 b=6.167 c=9.190 alpha=92.99 beta=97.52 gamma=94.39
Site moments in Bohr magnetons follow the coordinates.
Atoms (fractional coordinates):
O (0.769, 0.564, 0.680)  -0.06
O (0.995, 0.264, 0.858)  -0.12
O (0.005, 0.736, 0.142)  -0.12
Mn (0.809, 0.261, 0.653)  3.33
O (0.562, 0.224, 0.474)  -0.02
P (0.261, 0.258, 0.433)  0.01
C (0.767, 0.212, 0.910)  0.01
O (0.860, 0.683, 0.426)  -0.02
Li (0.220, 0.011, 0.806)  0.00
O (0.115, 0.048, 0.349)  -0.05
C (0.233, 0.788, 0.090)  0.01
O (0.255, 0.819, 0.961)  -0.07
Mn (0.191, 0.739, 0.347)  3.33
Li (0.780, 0.989, 0.194)  0.00
O (0.435, 0.804, 0.200)  -0.10
O (0.565, 0.196, 0.800)  -0.10
O (0.745, 0.181, 0.039)  -0.07
O (0.885, 0.952, 0.651)  -0.05
O (0.438, 0.776, 0.526)  -0.02
O (0.140, 0.317, 0.574)  -0.02
O (0.231, 0.436, 0.320)  -0.06
P (0.739, 0.742, 0.567)  0.01